No. 1
# PmLu2Pa

A geometry-optimized PmLu2Pa structure (GGA-PBE, Alexandria via LeMat-Bulk).

As for the density of states at the Fermi level: 1.3424 states/eV/atom. As for the formation energy: 0.290 eV/atom. The calculation puts the volume at 28.86 Å³ per atom. As for the total energy: -22.13 eV/cell.

a b c (Å): 3.3078 3.3078 12.3298
angles (deg): 82.29 82.29 60.00
Element x y z (fractional)
Pa: 0.0000 0.0000 0.0000
Lu: 0.0868 0.0868 0.7396
Lu: 0.9132 0.9132 0.2604
Pm: 0.5000 0.5000 0.5000

No. 2
# HoErLuPa

A geometry-optimized HoErLuPa structure (GGA-PBE, Alexandria via LeMat-Bulk).

As for the density of states at the Fermi level: 2.6271 states/eV/atom. As for the formation energy: 0.337 eV/atom. The calculation puts the volume at 29.39 Å³ per atom. As for the total energy: -21.81 eV/cell.

a b c (Å): 5.4985 5.4985 5.4985
angles (deg): 60.00 60.00 60.00
Site moments in Bohr magnetons follow the coordinates.
Element x y z (fractional)
Lu: 0.2500 0.2500 0.2500  0.10
Er: 0.0000 0.0000 0.0000  0.20
Pa: 0.7500 0.7500 0.7500  0.84
Ho: 0.5000 0.5000 0.5000  0.20

No. 3
# Mg8InPb2

A geometry-optimized Mg8InPb2 structure (GGA-PBE, Alexandria via LeMat-Bulk).

As for the density of states at the Fermi level: 0.4669 states/eV/atom. As for the formation energy: -0.048 eV/atom. The calculation puts the volume at 24.09 Å³ per atom. As for the total energy: -23.44 eV/cell.

a b c (Å): 4.5696 7.3156 8.5640
angles (deg): 105.59 105.47 90.00
Element x y z (fractional)
Mg: 0.1375 0.1831 0.2750
Mg: 0.4115 0.5472 0.8230
Mg: 0.5885 0.4528 0.1770
Mg: 0.0397 0.7288 0.0793
Mg: 0.8625 0.8169 0.7250
Mg: 0.6758 0.9129 0.3517
Mg: 0.9603 0.2712 0.9207
Mg: 0.3242 0.0871 0.6483
Pb: 0.7805 0.3460 0.5609
Pb: 0.2195 0.6540 0.4391
In: 0.5000 0.0000 0.0000

No. 4
# Li2CdPSe4

A geometry-optimized Li2CdPSe4 structure (GGA-PBE, Alexandria via LeMat-Bulk).

As for the density of states at the Fermi level: 0.5696 states/eV/atom. The calculation puts the volume at 25.51 Å³ per atom. As for the total energy: -28.56 eV/cell. The formation energy (no corrections) comes out at -4.5 eV per formula unit.

a b c (Å): 5.9730 5.9733 7.1131
angles (deg): 114.85 114.85 90.00
Element x y z (fractional)
Li: 0.2356 0.2358 0.4717
Li: 0.4857 0.9856 0.9717
Se: 0.0939 0.0758 0.7025
Se: 0.6088 0.6267 0.7024
Se: 0.8449 0.3782 0.2409
Se: 0.3964 0.8631 0.2412
P: 0.7360 0.7359 0.4719
Cd: 0.9859 0.4859 0.9717

No. 5
# CeEuZnSn

A geometry-optimized CeEuZnSn structure (GGA-PBE, Alexandria via LeMat-Bulk).

As for the density of states at the Fermi level: 2.2659 states/eV/atom. As for the formation energy: -0.418 eV/atom. The calculation puts the volume at 27.79 Å³ per atom. As for the total energy: -23.16 eV/cell.

a b c (Å): 5.3973 5.3973 5.3973
angles (deg): 60.00 60.00 60.00
Site moments in Bohr magnetons follow the coordinates.
Element x y z (fractional)
Sn: 0.2500 0.2500 0.2500  -0.05
Ce: 0.5000 0.5000 0.5000  1.04
Eu: 0.0000 0.0000 0.0000  6.89
Zn: 0.7500 0.7500 0.7500  0.05

No. 6
# SrTl2I2Br2

A geometry-optimized SrTl2I2Br2 structure (GGA-PBE, Alexandria via LeMat-Bulk).

As for the density of states at the Fermi level: 0.0000 states/eV/atom. The calculation puts the volume at 41.91 Å³ per atom. As for the total energy: -21.52 eV/cell. The formation energy (no corrections) comes out at -8.7 eV per formula unit.

a b c (Å): 4.5387 8.1874 8.8131
angles (deg): 68.77 75.07 89.99
Element x y z (fractional)
I: 0.7938 0.7698 0.4123
I: 0.2062 0.2302 0.5877
Tl: 0.8599 0.4182 0.2805
Tl: 0.1401 0.5818 0.7195
Br: 0.4862 0.2423 0.0275
Br: 0.5138 0.7577 0.9725
Sr: 0.0000 0.0000 0.0000

No. 7
# Al3Co

A geometry-optimized Al3Co structure (GGA-PBE, Alexandria via LeMat-Bulk).

As for the density of states at the Fermi level: 0.4199 states/eV/atom. As for the formation energy: -0.397 eV/atom. The calculation puts the volume at 15.31 Å³ per atom. As for the total energy: -79.68 eV/cell.

a b c (Å): 6.2552 6.2552 6.2613
angles (deg): 90.00 90.00 90.00
Element x y z (fractional)
Al: 0.6539 0.3461 0.2460
Al: 0.3461 0.6539 0.7540
Al: 0.1539 0.1539 0.2540
Al: 0.8461 0.8461 0.7460
Al: 0.1539 0.1539 0.7460
Al: 0.3461 0.6539 0.2460
Al: 0.5000 0.0000 0.0000
Al: 0.8461 0.8461 0.2540
Al: 0.5000 0.0000 0.5000
Al: 0.0000 0.5000 0.5000
Al: 0.0000 0.5000 0.0000
Al: 0.6539 0.3461 0.7540
Co: 0.8501 0.1499 0.5000
Co: 0.1499 0.8501 0.5000
Co: 0.3501 0.3501 0.0000
Co: 0.6499 0.6499 0.0000

No. 8
# Ce2PaSi3Pt4

A geometry-optimized Ce2PaSi3Pt4 structure (GGA-PBE, Alexandria via LeMat-Bulk).

As for the density of states at the Fermi level: 1.4507 states/eV/atom. The calculation puts the volume at 19.77 Å³ per atom. As for the total energy: -71.37 eV/cell. The formation energy (no corrections) comes out at -9.6 eV per formula unit.

a b c (Å): 4.2619 4.2619 10.8850
angles (deg): 90.00 90.00 90.00
Site moments in Bohr magnetons follow the coordinates.
Element x y z (fractional)
Si: 0.0000 0.5000 0.1161  0.00
Si: 0.0000 0.0000 0.5000  -0.01
Si: 0.5000 0.0000 0.8839  0.00
Ce: 0.5000 0.0000 0.2315  0.53
Ce: 0.0000 0.5000 0.7685  0.53
Pt: 0.0000 0.5000 0.3353  -0.01
Pt: 0.5000 0.0000 0.6647  -0.01
Pt: 0.5000 0.5000 0.0000  0.00
Pt: 0.0000 0.0000 0.0000  0.00
Pa: 0.5000 0.5000 0.5000  0.17

No. 9
# LaSc2Fe2

A geometry-optimized LaSc2Fe2 structure (GGA-PBE, Alexandria via LeMat-Bulk).

As for the density of states at the Fermi level: 0.9309 states/eV/atom. As for the formation energy: 0.139 eV/atom. The calculation puts the volume at 18.85 Å³ per atom. As for the total energy: -67.65 eV/cell.

a b c (Å): 7.6126 7.6126 3.2532
angles (deg): 90.00 90.00 90.00
Element x y z (fractional)
Sc: 0.3621 0.1379 0.5000
Sc: 0.6379 0.8621 0.5000
Sc: 0.8621 0.3621 0.5000
Sc: 0.1379 0.6379 0.5000
Fe: 0.3457 0.8457 0.0000
Fe: 0.1543 0.3457 0.0000
Fe: 0.8457 0.6543 0.0000
Fe: 0.6543 0.1543 0.0000
La: 0.0000 0.0000 0.0000
La: 0.5000 0.5000 0.0000

No. 10
# Co3Br

A geometry-optimized Co3Br structure (GGA-PBE, Alexandria via LeMat-Bulk).

As for the density of states at the Fermi level: 1.5738 states/eV/atom. The calculation puts the volume at 13.34 Å³ per atom. As for the total energy: -19.91 eV/cell. The formation energy (no corrections) comes out at 3.1 eV per formula unit.

a b c (Å): 4.2083 4.2083 3.0128
angles (deg): 90.00 90.00 90.00
Site moments in Bohr magnetons follow the coordinates.
Element x y z (fractional)
Co: 0.0000 0.5000 0.5000  1.69
Co: 0.5000 0.0000 0.5000  1.69
Co: 0.5000 0.5000 0.0000  1.81
Br: 0.0000 0.0000 0.0000  0.12

No. 11
# LiB4C4

A geometry-optimized LiB4C4 structure (GGA-PBE, Alexandria via LeMat-Bulk).

As for the density of states at the Fermi level: 0.2661 states/eV/atom. As for the formation energy: 0.233 eV/atom. The calculation puts the volume at 10.22 Å³ per atom. As for the total energy: -126.84 eV/cell.

a b c (Å): 5.3828 5.3828 7.3276
angles (deg): 90.00 90.00 120.00
Element x y z (fractional)
B: 0.8321 0.1679 0.7500
B: 0.6667 0.3333 0.2500
B: 0.3333 0.6667 0.7500
B: 0.8321 0.6641 0.7500
B: 0.1679 0.8321 0.2500
B: 0.1679 0.3359 0.2500
B: 0.3359 0.1679 0.7500
B: 0.6641 0.8321 0.2500
C: 0.1660 0.3319 0.7500
C: 0.8340 0.1660 0.2500
C: 0.3333 0.6667 0.2500
C: 0.1660 0.8340 0.7500
C: 0.6681 0.8340 0.7500
C: 0.8340 0.6681 0.2500
C: 0.6667 0.3333 0.7500
C: 0.3319 0.1660 0.2500
Li: 0.0000 0.0000 0.5000
Li: 0.0000 0.0000 0.0000

No. 12
# Pm3Y6HoEr2

A geometry-optimized Pm3Y6HoEr2 structure (GGA-PBE, Alexandria via LeMat-Bulk).

As for the density of states at the Fermi level: 1.4317 states/eV/atom. As for the formation energy: 0.020 eV/atom. The calculation puts the volume at 32.31 Å³ per atom. As for the total energy: -66.50 eV/cell.

a b c (Å): 6.1974 6.1974 11.8334
angles (deg): 94.99 94.99 119.96
Element x y z (fractional)
Pm: 0.1667 0.8333 0.5000
Pm: 0.5000 0.5000 0.5000
Pm: 0.8333 0.1667 0.5000
Ho: 0.0000 0.0000 0.0000
Y: 0.0823 0.4157 0.2465
Y: 0.9177 0.5843 0.7535
Y: 0.7489 0.7489 0.2465
Y: 0.2511 0.2511 0.7535
Y: 0.4157 0.0823 0.2465
Y: 0.5843 0.9177 0.7535
Er: 0.3333 0.6667 0.0000
Er: 0.6667 0.3333 0.0000

What is the formula in the first record?
PmLu2Pa